Record 1
## HfBr2O (PBE-GGA)

Data for crystalline HfBr2O at its relaxed geometry.

Values from the calculation:
Volume   296.1 Å³ per cell
Density   5.961 Mg/m³
Spin magnetization   0.465 μB/atom
Formation energy without anion corrections   0.324 eV per atom

Structure (CIF):
```
data_HfBr2O
_space_group_name_H-M_alt 'R -3 m'
_space_group_IT_number 166
_space_group_name_Hall '-R 3 2"'
_cell_length_a 3.6150
_cell_length_b 3.6150
_cell_length_c 26.1605
_cell_angle_alpha 90.00
_cell_angle_beta 90.00
_cell_angle_gamma 120.00
loop_
_atom_site_label
_atom_site_fract_x
_atom_site_fract_y
_atom_site_fract_z
Hf1 0.0000 0.0000 0.0000
Br1 0.0000 0.0000 0.0941
O1 0.0000 0.0000 0.5000
```

Record 2
## HfPBrO2 (PBE-GGA)

Data for crystalline HfPBrO2 at its relaxed geometry.

Values from the calculation:
Volume   92.2 Å³ per cell
Energy relative to the lowest polymorph listed for this composition   0 meV/atom
Density   5.789 Mg/m³
Spin magnetization   0.040 μB/atom
Formation energy without anion corrections   -1.313 eV per atom

Structure (CIF):
```
data_HfPBrO2
_space_group_name_H-M_alt 'P 4/m m m'
_space_group_IT_number 123
_space_group_name_Hall '-P 4 2'
_cell_length_a 3.9907
_cell_length_b 3.9907
_cell_length_c 5.7886
_cell_angle_alpha 90.00
_cell_angle_beta 90.00
_cell_angle_gamma 90.00
loop_
_atom_site_label
_atom_site_fract_x
_atom_site_fract_y
_atom_site_fract_z
Hf1 0.0000 0.0000 0.0000
P1 0.0000 0.0000 0.5000
Br1 0.5000 0.5000 0.5000
O1 0.0000 0.5000 0.0000
```

Record 3
## HfPBrO2 (PBE-GGA)

Data for crystalline HfPBrO2 at its relaxed geometry.

Values from the calculation:
Volume   78.4 Å³ per cell
Energy relative to the lowest polymorph listed for this composition   1621 meV/atom
Density   6.810 Mg/m³
Spin magnetization   0.000 μB/atom
Formation energy without anion corrections   0.308 eV per atom

Structure (CIF):
```
data_HfPBrO2
_space_group_name_H-M_alt 'P 4/m m m'
_space_group_IT_number 123
_space_group_name_Hall '-P 4 2'
_cell_length_a 3.9531
_cell_length_b 3.9531
_cell_length_c 5.0148
_cell_angle_alpha 90.00
_cell_angle_beta 90.00
_cell_angle_gamma 90.00
loop_
_atom_site_label
_atom_site_fract_x
_atom_site_fract_y
_atom_site_fract_z
Hf1 0.0000 0.0000 0.0000
P1 0.5000 0.5000 0.0000
Br1 0.5000 0.5000 0.5000
O1 0.0000 0.5000 0.5000
```

Record 4
## HfP2BrO (PBE-GGA)

Data for crystalline HfP2BrO at its relaxed geometry.

Values from the calculation:
Volume   108.4 Å³ per cell
Energy relative to the lowest polymorph listed for this composition   0 meV/atom
Density   5.152 Mg/m³
Spin magnetization   0.199 μB/atom
Formation energy without anion corrections   -0.370 eV per atom

Structure (CIF):
```
data_HfP2BrO
_space_group_name_H-M_alt 'P 4/m m m'
_space_group_IT_number 123
_space_group_name_Hall '-P 4 2'
_cell_length_a 5.2239
_cell_length_b 5.2239
_cell_length_c 3.9724
_cell_angle_alpha 90.00
_cell_angle_beta 90.00
_cell_angle_gamma 90.00
loop_
_atom_site_label
_atom_site_fract_x
_atom_site_fract_y
_atom_site_fract_z
Hf1 0.0000 0.0000 0.0000
P1 0.0000 0.5000 0.0000
Br1 0.5000 0.5000 0.5000
O1 0.0000 0.0000 0.5000
```

Record 5
## HfP2BrO (PBE-GGA)

Data for crystalline HfP2BrO at its relaxed geometry.

Values from the calculation:
Volume   87.9 Å³ per cell
Energy relative to the lowest polymorph listed for this composition   1057 meV/atom
Density   6.356 Mg/m³
Spin magnetization   0.000 μB/atom
Formation energy without anion corrections   0.687 eV per atom

Structure (CIF):
```
data_HfP2BrO
_space_group_name_H-M_alt 'P 4/m m m'
_space_group_IT_number 123
_space_group_name_Hall '-P 4 2'
_cell_length_a 4.8102
_cell_length_b 4.8102
_cell_length_c 3.7978
_cell_angle_alpha 90.00
_cell_angle_beta 90.00
_cell_angle_gamma 90.00
loop_
_atom_site_label
_atom_site_fract_x
_atom_site_fract_y
_atom_site_fract_z
Hf1 0.0000 0.0000 0.0000
P1 0.0000 0.5000 0.5000
Br1 0.5000 0.5000 0.5000
O1 0.5000 0.5000 0.0000
```

Record 6
## HfPbBr2O (PBE-GGA)

Data for crystalline HfPbBr2O at its relaxed geometry.

Values from the calculation:
Volume   110.7 Å³ per cell
Density   8.421 Mg/m³
Spin magnetization   0.000 μB/atom
Formation energy without anion corrections   0.394 eV per atom

Structure (CIF):
```
data_HfPbBr2O
_space_group_name_H-M_alt 'P 4/m m m'
_space_group_IT_number 123
_space_group_name_Hall '-P 4 2'
_cell_length_a 4.7300
_cell_length_b 4.7300
_cell_length_c 4.9489
_cell_angle_alpha 90.00
_cell_angle_beta 90.00
_cell_angle_gamma 90.00
loop_
_atom_site_label
_atom_site_fract_x
_atom_site_fract_y
_atom_site_fract_z
Hf1 0.0000 0.0000 0.0000
Pb1 0.5000 0.5000 0.0000
Br1 0.0000 0.5000 0.5000
O1 0.5000 0.5000 0.5000
```